Pu2Np2Pt15: optimized geometry, GGA-PBE.

Calculated values
crystal system	trigonal
DOS at the Fermi energy	52.488	states/eV/cell
calculated formation energy	-8.53	eV/f.u.

a b c (Å): 7.085 7.085 7.085
angles (deg): 82.73 82.73 82.73
Each line ends with the local moment (μB).
Fractional coordinates of all 19 atoms:
1 Pu 0.099 0.099 0.099  5.09
2 Pu 0.901 0.901 0.901  5.09
3 Np 0.354 0.354 0.354  3.79
4 Np 0.646 0.646 0.646  3.79
5 Pt 0.500 0.000 0.000  -0.10
6 Pt 0.000 0.000 0.500  -0.10
7 Pt 0.000 0.500 0.000  -0.10
8 Pt 0.000 0.679 0.321  -0.11
9 Pt 0.679 0.321 0.000  -0.11
10 Pt 0.321 0.000 0.679  -0.11
11 Pt 0.321 0.679 0.000  -0.11
12 Pt 0.679 0.000 0.321  -0.11
13 Pt 0.000 0.321 0.679  -0.11
14 Pt 0.167 0.654 0.654  -0.11
15 Pt 0.654 0.654 0.167  -0.11
16 Pt 0.654 0.167 0.654  -0.11
17 Pt 0.833 0.346 0.346  -0.11
18 Pt 0.346 0.346 0.833  -0.11
19 Pt 0.346 0.833 0.346  -0.11